[1]
Ag3PbAu after structural relaxation, computed with PBE.

Summary:
The formation energy comes out at 0.464 eV per atom. The total energy comes out at -13.22 eV per formula unit.

Cell: 5.154 5.154 5.154 Å, 90.00 90.00 90.00°
Positions (direct):
Ag (0.000, 0.000, 0.500)
Ag (0.000, 0.500, 0.000)
Ag (0.500, 0.000, 0.000)
Pb (0.500, 0.500, 0.500)
Au (0.000, 0.000, 0.000)

[2]
Ag2PbAu after structural relaxation, computed with PBE.

Summary:
The formation energy comes out at 0.059 eV per atom. The total energy comes out at -12.45 eV per formula unit.

Cell: 4.331 4.331 4.419 Å, 90.00 90.00 90.00°
Positions (direct):
Ag (0.000, 0.500, 0.000)
Ag (0.500, 0.000, 0.000)
Pb (0.000, 0.000, 0.500)
Au (0.500, 0.500, 0.500)

[3]
Ag2PbAu after structural relaxation, computed with PBE.

Summary:
The formation energy comes out at 0.035 eV per atom. The total energy comes out at -12.55 eV per formula unit.

Cell: 5.103 5.103 5.103 Å, 126.44 126.44 79.16°
Positions (direct):
Ag (0.000, 0.000, 0.000)
Ag (0.750, 0.250, 0.500)
Pb (0.250, 0.750, 0.500)
Au (0.500, 0.500, 0.000)